No. 1
Below is an optimized crystal structure of Tb2Tm3Sc2, with properties calculated at the PBE-GGA level.

The space group is P2_1/c (No. 14) and the conventional cell measures 6.2739, 10.3345 and 6.3604 Å, with angles of 90.00, 91.91 and 90.00 degrees. Symmetry generates all atoms from Tb at (0.1411, 0.2425, 0.2489), Tm at (0.0000, 0.0000, 0.0000), Tm at (0.2541, 0.5574, 0.0228) and Sc at (0.4472, 0.6456, 0.5240).

As for the energy above the most stable polymorph in this dataset: 0.0 meV/atom. The calculation puts the energy relative to the elements at 0.21 eV/atom.



No. 2
Below is an optimized crystal structure of TbTm3Sc6, with properties calculated at the PBE-GGA level.

The space group is Cmc2_1 (No. 36) and the conventional cell measures 10.4335, 17.8628 and 5.8211 Å, with angles of 90.00, 90.00 and 90.00 degrees. Symmetry generates all atoms from Tb at (0.0000, 0.2101, 0.0000), Tm at (0.0000, 0.3945, 0.9026), Tm at (0.1749, 0.1051, 0.3062), Sc at (0.0000, 0.0477, 0.7665), Sc at (0.0000, 0.2865, 0.4779), Sc at (0.1658, 0.4484, 0.3597) and Sc at (0.2452, 0.2139, 0.7017).

As for the energy above the most stable polymorph in this dataset: 0.0 meV/atom. The calculation puts the energy relative to the elements at 0.15 eV/atom.



No. 3
Below is an optimized crystal structure of TbTm8Sc6, with properties calculated at the PBE-GGA level.

The space group is R-3 (No. 148, hexagonal axes) and the conventional cell measures 9.2626, 9.2626 and 17.2002 Å, with angles of 90.00, 90.00 and 120.00 degrees. Symmetry generates all atoms from Tb at (0.0000, 0.0000, 0.0000), Tm at (0.0000, 0.0000, 0.4102), Tm at (0.0537, 0.2430, 0.1741) and Sc at (0.0300, 0.2913, 0.6802).

As for the energy above the most stable polymorph in this dataset: 24.4 meV/atom. The calculation puts the energy relative to the elements at 0.19 eV/atom.



No. 4
Below is an optimized crystal structure of TbTm2Sc2, with properties calculated at the PBE-GGA level.

The space group is P4/mbm (No. 127) and the conventional cell measures 9.0068, 9.0068 and 3.5227 Å, with angles of 90.00, 90.00 and 90.00 degrees. Symmetry generates all atoms from Tb at (0.0000, 0.0000, 0.0000), Tm at (0.1752, 0.3248, 0.5000) and Sc at (0.1204, 0.6204, 0.0000).

As for the energy above the most stable polymorph in this dataset: 30.0 meV/atom. The calculation puts the energy relative to the elements at 0.07 eV/atom.



No. 5
Below is an optimized crystal structure of Tb3TmSc6, with properties calculated at the PBE-GGA level.

The space group is R3 (No. 146, hexagonal axes) and the conventional cell measures 9.2520, 9.2520 and 11.2653 Å, with angles of 90.00, 90.00 and 120.00 degrees. Symmetry generates all atoms from Tb at (0.0000, 0.0000, 0.0000), Tb at (0.0000, 0.0000, 0.2495), Tb at (0.0000, 0.0000, 0.7500), Tm at (0.0000, 0.0000, 0.4999), Sc at (0.0000, 0.3351, 0.9160) and Sc at (0.0000, 0.6647, 0.0822).

As for the energy above the most stable polymorph in this dataset: 242.5 meV/atom. The calculation puts the energy relative to the elements at 0.40 eV/atom.



No. 6
Below is an optimized crystal structure of Tb7Tm4Sc, with properties calculated at the PBE-GGA level.

The space group is C2/m (No. 12) and the conventional cell measures 18.3600, 6.9761 and 5.8646 Å, with angles of 90.00, 91.90 and 90.00 degrees. Symmetry generates all atoms from Tb at (0.0000, 0.0000, 0.0000), Tb at (0.0377, 0.5000, 0.2549), Tb at (0.1874, 0.0000, 0.2530), Tb at (0.2127, 0.5000, 0.2351), Tm at (0.1347, 0.2695, 0.7364) and Sc at (0.0000, 0.0000, 0.5000).

As for the energy above the most stable polymorph in this dataset: 0.0 meV/atom. The calculation puts the energy relative to the elements at 0.15 eV/atom.